5
Lattice="-2.658 2.127 -3.678 3.258 -1.305 -3.109 -2.434 -4.319 -0.738" Properties=species:S:1:pos:R:3 comment="YHf2WSe, optimized geometry, DFT PBE" sg=P4/mmm density_g_cm3=10.0 dos_at_fermi_per_ev_fu=6.29 raw_formation_energy_kj_per_mol_fu=158 energy_ev_per_atom=-8.23 pbc="T T T"
W 1.629 -0.652 -1.554
Y -0.917 -1.748 -3.763
Se 0.000 0.000 0.000
Hf -1.329 1.063 -1.839
Hf -1.217 -2.159 -0.369